[1]
Entry from Alexandria via LeMat-Bulk: a relaxed structure of Li2ZrPd (GGA-PBE).

## Properties
- Offset from the most stable computed form: 0.0 meV per atom
- V: 17.9 A^3/atom
- SG: R-3m
- Calculated formation energy: -47 meV/atom

```
4
Lattice="1.436 0.829 10.025 -1.436 0.829 10.025 0.000 -1.658 10.025" Properties=species:S:1:pos:R:3 pbc="T T T"
Li 0.000 0.000 2.967
Li 0.000 0.000 27.108
Zr 0.000 0.000 0.000
Pd 0.000 0.000 15.037
```

[2]
Entry from Alexandria via LeMat-Bulk: a relaxed structure of Li3ZrPd3 (GGA-PBE).

## Properties
- V: 17.3 A^3/atom
- SG: Pm-3n
- Calculated formation energy: 350 meV/atom

```
14
Lattice="6.233 0.000 0.000 0.000 6.233 0.000 0.000 0.000 6.233" Properties=species:S:1:pos:R:3 pbc="T T T"
Li 0.000 1.558 3.117
Li 0.000 4.675 3.117
Li 1.558 3.117 0.000
Li 3.117 0.000 1.558
Li 3.117 0.000 4.675
Li 4.675 3.117 0.000
Zr 0.000 0.000 0.000
Zr 3.117 3.117 3.117
Pd 0.000 3.117 1.558
Pd 0.000 3.117 4.675
Pd 1.558 0.000 3.117
Pd 3.117 1.558 0.000
Pd 3.117 4.675 0.000
Pd 4.675 0.000 3.117
```

[3]
Entry from Alexandria via LeMat-Bulk: a relaxed structure of LiZr2Pd2 (GGA-PBE).

## Properties
- Offset from the most stable computed form: 0.0 meV per atom
- V: 19.4 A^3/atom
- SG: P4/mbm
- Calculated formation energy: -443 meV/atom

```
10
Lattice="7.702 0.000 0.000 0.000 7.702 0.000 0.000 0.000 3.273" Properties=species:S:1:pos:R:3 pbc="T T T"
Li 0.000 0.000 0.000
Li 3.851 3.851 0.000
Zr 1.274 2.577 1.637
Zr 2.577 6.428 1.637
Zr 5.125 1.274 1.637
Zr 6.428 5.125 1.637
Pd 1.025 4.876 0.000
Pd 2.826 1.025 0.000
Pd 4.876 6.677 0.000
Pd 6.677 2.826 0.000
```

[4]
Entry from Alexandria via LeMat-Bulk: a relaxed structure of Li3ZrPd2 (GGA-PBE).

## Properties
- V: 16.4 A^3/atom
- SG: C2/m
- Calculated formation energy: -392 meV/atom

```
12
Lattice="7.564 -1.821 0.000 7.564 1.821 0.000 -4.889 0.000 7.146" Properties=species:S:1:pos:R:3 pbc="T T T"
Li 0.351 0.000 1.371
Li 3.161 0.000 0.824
Li 5.966 0.000 0.340
Li 4.273 0.000 6.806
Li 7.079 0.000 6.322
Li 9.888 0.000 5.775
Zr 3.520 0.000 3.731
Zr 6.720 0.000 3.415
Pd -2.265 0.000 5.037
Pd 0.814 0.000 4.616
Pd 9.426 0.000 2.530
Pd 12.504 0.000 2.109
```

> What is the calculated formation energy in the first record?

-47 meV/atom